[1]
Material: TlCd2Si
Method: DFT, GGA-PBE
State: relaxed

Calculated values
Theoretical density   8.089 g/cm3
Space-group type   Cmm2, No. 35
DOS(E_F)   1.454 states/eV/cell
Energy above the most stable polymorph in this dataset   8 kJ/mol of formula units

Lattice parameters (Å, degrees): 3.272 3.272 8.800 90.00 90.00 94.76
Atoms (fractional coordinates):
Cd 0.000 0.000 0.023
Cd 0.500 0.500 0.270
Si 0.000 0.000 0.474
Tl 0.500 0.500 0.733

---

[2]
Material: TlCdSi2
Method: DFT, GGA-PBE
State: relaxed

Calculated values
Theoretical density   5.545 g/cm3
Space-group type   I-42d, No. 122
DOS(E_F)   5.678 states/eV/cell
Energy above the most stable polymorph in this dataset   202 kJ/mol of formula units

Lattice parameters (Å, degrees): 6.462 6.462 7.035 62.66 62.66 90.00
Atoms (fractional coordinates):
Tl 0.000 0.000 0.000
Tl 0.750 0.250 0.500
Si 0.617 0.125 0.250
Si 0.133 0.625 0.250
Si 0.375 0.383 0.750
Si 0.875 0.867 0.750
Cd 0.500 0.500 0.000
Cd 0.250 0.750 0.500

---

- Among the records above, which one has the highest theoretical density?
  TlCd2Si

---

- Which value of theoretical density does entry 2 give?
  5.545 g/cm3

---

Please write out number 1 again, unchanged.
Material: TlCd2Si
Method: DFT, GGA-PBE
State: relaxed

Calculated values
Theoretical density   8.089 g/cm3
Space-group type   Cmm2, No. 35
DOS(E_F)   1.454 states/eV/cell
Energy above the most stable polymorph in this dataset   8 kJ/mol of formula units

Lattice parameters (Å, degrees): 3.272 3.272 8.800 90.00 90.00 94.76
Atoms (fractional coordinates):
Cd 0.000 0.000 0.023
Cd 0.500 0.500 0.270
Si 0.000 0.000 0.474
Tl 0.500 0.500 0.733

---

- Which value of energy above the most stable polymorph in this dataset does entry 2 give?
  202 kJ/mol of formula units